# Dy4HgRhAu2

An optimized crystal structure of Dy4HgRhAu2 (GGA-PBE, Alexandria via LeMat-Bulk).

abc: 5.0820 5.0820 8.7487
angles: 73.12 73.12 60.00
With the nearest neighbours (Å) after each atom.
Element x y z (fractional)
Hg (0.0000, 0.0000, 0.0000)  8 Dy 3.18-3.24, 6 Au 3.50
Au (0.2563, 0.2563, 0.2311)  8 Dy 3.01-3.22
Au (0.7437, 0.7437, 0.7689)  8 Dy 3.01-3.22
Dy (0.3826, 0.3826, 0.8521)  1 Rh 2.90, 4 Au 3.01-3.12, 3 Hg 3.18
Dy (0.6174, 0.6174, 0.1479)  1 Rh 2.90, 4 Au 3.01-3.12, 3 Hg 3.18
Dy (0.1308, 0.1308, 0.6075)  3 Rh 3.06, 4 Au 3.10-3.22, 1 Hg 3.24, 3 Dy 3.43
Dy (0.8692, 0.8692, 0.3925)  3 Rh 3.06, 4 Au 3.10-3.22, 1 Hg 3.24, 3 Dy 3.43
Rh (0.5000, 0.5000, 0.5000)  8 Dy 2.90-3.06

## Properties
The density of states at the Fermi level comes out at 0.56 states/eV/atom. The formation energy is -0.77 eV per atom. The calculated total energy comes out at -4.844 eV per atom.



# DyHgRhAu

An optimized crystal structure of DyHgRhAu (GGA-PBE, Alexandria via LeMat-Bulk).

abc: 4.8290 4.8290 4.8290
angles: 60.00 60.00 60.00
With the nearest neighbours (Å) after each atom.
Element x y z (fractional)
Au (0.0000, 0.0000, 0.0000)  4 Dy 2.96, 4 Hg 2.96
Hg (0.2500, 0.2500, 0.2500)  4 Au 2.96, 4 Rh 2.96
Dy (0.7500, 0.7500, 0.7500)  4 Rh 2.96, 4 Au 2.96
Rh (0.5000, 0.5000, 0.5000)  4 Hg 2.96, 4 Dy 2.96

## Properties
The density of states at the Fermi level comes out at 0.53 states/eV/atom. The formation energy is -0.48 eV per atom. The calculated total energy comes out at -4.362 eV per atom.



# Dy4HgRh2Au

An optimized crystal structure of Dy4HgRh2Au (GGA-PBE, Alexandria via LeMat-Bulk).

abc: 5.0147 5.0147 8.6697
angles: 73.19 73.19 60.00
With the nearest neighbours (Å) after each atom.
Element x y z (fractional)
Dy (0.8728, 0.8728, 0.3816)  4 Rh 3.03-3.09, 3 Au 3.05, 1 Hg 3.12
Dy (0.1272, 0.1272, 0.6184)  4 Rh 3.03-3.09, 3 Au 3.05, 1 Hg 3.12
Dy (0.6226, 0.6226, 0.1322)  1 Au 3.01, 4 Rh 3.05-3.11, 3 Hg 3.09
Dy (0.3774, 0.3774, 0.8678)  1 Au 3.01, 4 Rh 3.05-3.11, 3 Hg 3.09
Au (0.5000, 0.5000, 0.5000)  8 Dy 3.01-3.05
Rh (0.2507, 0.2507, 0.2479)  8 Dy 3.03-3.11
Rh (0.7493, 0.7493, 0.7521)  8 Dy 3.03-3.11
Hg (0.0000, 0.0000, 0.0000)  8 Dy 3.09-3.12

## Properties
The density of states at the Fermi level comes out at 0.57 states/eV/atom. The formation energy is -0.73 eV per atom. The calculated total energy comes out at -5.312 eV per atom.



# Dy4HgRu2Au

An optimized crystal structure of Dy4HgRu2Au (GGA-PBE, Alexandria via LeMat-Bulk).

abc: 4.9904 4.9904 8.6319
angles: 73.20 73.20 60.00
With the nearest neighbours (Å) after each atom.
Element x y z (fractional)
Hg (0.0000, 0.0000, 0.0000)  8 Dy 3.07-3.10
Dy (0.6230, 0.6230, 0.1311)  1 Au 3.00, 4 Ru 3.04-3.09, 3 Hg 3.07
Dy (0.8730, 0.8730, 0.3810)  4 Ru 3.01-3.07, 3 Au 3.04, 1 Hg 3.10
Dy (0.1270, 0.1270, 0.6190)  4 Ru 3.01-3.07, 3 Au 3.04, 1 Hg 3.10
Dy (0.3770, 0.3770, 0.8689)  1 Au 3.00, 4 Ru 3.04-3.09, 3 Hg 3.07
Ru (0.2503, 0.2503, 0.2490)  8 Dy 3.01-3.09
Ru (0.7497, 0.7497, 0.7510)  8 Dy 3.01-3.09
Au (0.5000, 0.5000, 0.5000)  8 Dy 3.00-3.04

## Properties
The density of states at the Fermi level comes out at 0.68 states/eV/atom. The formation energy is -0.47 eV per atom. The calculated total energy comes out at -5.542 eV per atom.



# DyScHgAu

An optimized crystal structure of DyScHgAu (GGA-PBE, Alexandria via LeMat-Bulk).

abc: 5.0465 5.0465 5.0465
angles: 60.00 60.00 60.00
With the nearest neighbours (Å) after each atom.
Element x y z (fractional)
Hg (0.5000, 0.5000, 0.5000)  4 Dy 3.09, 4 Sc 3.09
Au (0.0000, 0.0000, 0.0000)  4 Sc 3.09, 4 Dy 3.09
Sc (0.2500, 0.2500, 0.2500)  4 Hg 3.09, 4 Au 3.09
Dy (0.7500, 0.7500, 0.7500)  4 Au 3.09, 4 Hg 3.09

## Properties
For the energy above the most stable polymorph in this dataset, the calculation gives 18.2 meV per atom. The density of states at the Fermi level comes out at 0.94 states/eV/atom. The formation energy is -0.62 eV per atom. The calculated total energy comes out at -4.244 eV per atom.



# DyScHgAu

An optimized crystal structure of DyScHgAu (GGA-PBE, Alexandria via LeMat-Bulk).

abc: 3.5738 3.5738 7.0792
angles: 90.00 90.00 90.00
With the nearest neighbours (Å) after each atom.
Element x y z (fractional)
Au (0.0000, 0.0000, 0.3359)  4 Sc 2.96, 4 Dy 3.13, 1 Hg 3.24
Hg (0.0000, 0.0000, 0.8777)  4 Sc 3.05, 4 Dy 3.22, 1 Au 3.24
Sc (0.5000, 0.5000, 0.1183)  4 Au 2.96, 4 Hg 3.05
Dy (0.5000, 0.5000, 0.5960)  4 Au 3.13, 4 Hg 3.22, 1 Sc 3.38

## Properties
For the energy above the most stable polymorph in this dataset, the calculation gives 0.0 meV per atom. The density of states at the Fermi level comes out at 0.81 states/eV/atom. The formation energy is -0.63 eV per atom. The calculated total energy comes out at -4.263 eV per atom.



# Dy4HgAuSe2

An optimized crystal structure of Dy4HgAuSe2 (GGA-PBE, Alexandria via LeMat-Bulk).

abc: 3.9996 7.7878 6.8993
angles: 72.63 90.00 90.00
With the nearest neighbours (Å) after each atom.
Element x y z (fractional)
Dy (0.0000, 0.7569, 0.7539)  3 Se 2.90-2.94, 2 Au 2.98, 1 Hg 3.03
Dy (0.0000, 0.2431, 0.2461)  3 Se 2.90-2.94, 2 Au 2.98, 1 Hg 3.03
Dy (0.5000, 0.2342, 0.7598)  3 Se 2.88-2.91, 1 Au 3.01, 2 Hg 3.05
Dy (0.5000, 0.7658, 0.2402)  3 Se 2.88-2.91, 1 Au 3.01, 2 Hg 3.05
Se (0.0000, 0.0000, 0.0000)  6 Dy 2.88-2.90
Se (0.5000, 0.0000, 0.5000)  6 Dy 2.91-2.94
Hg (0.0000, 0.5000, 0.5000)  6 Dy 3.03-3.05
Au (0.5000, 0.5000, 0.0000)  6 Dy 2.98-3.01

## Properties
The density of states at the Fermi level comes out at 0.56 states/eV/atom. For the energy relative to the elements, uncorrected, the calculation gives -1.1730 eV per atom. The calculated total energy comes out at -4.793 eV per atom.



# SmDyHgAu

An optimized crystal structure of SmDyHgAu (GGA-PBE, Alexandria via LeMat-Bulk).

abc: 5.2282 5.2282 5.2282
angles: 60.00 60.00 60.00
With the nearest neighbours (Å) after each atom.
Element x y z (fractional)
Hg (0.0000, 0.0000, 0.0000)  4 Sm 3.20, 4 Dy 3.20
Dy (0.7500, 0.7500, 0.7500)  4 Hg 3.20, 4 Au 3.20
Au (0.5000, 0.5000, 0.5000)  4 Dy 3.20, 4 Sm 3.20
Sm (0.2500, 0.2500, 0.2500)  4 Au 3.20, 4 Hg 3.20

## Properties
For the energy above the most stable polymorph in this dataset, the calculation gives 15.4 meV per atom. The density of states at the Fermi level comes out at 0.76 states/eV/atom. The formation energy is -0.64 eV per atom. The calculated total energy comes out at -3.862 eV per atom.



# SmDyHgAu

An optimized crystal structure of SmDyHgAu (GGA-PBE, Alexandria via LeMat-Bulk).

abc: 3.6939 3.6939 7.4052
angles: 90.00 90.00 90.00
With the nearest neighbours (Å) after each atom.
Element x y z (fractional)
Sm (0.5000, 0.5000, 0.1162)  4 Au 3.22, 4 Hg 3.28, 1 Dy 3.54
Au (0.0000, 0.0000, 0.3701)  4 Dy 3.09, 4 Sm 3.22
Dy (0.5000, 0.5000, 0.5940)  4 Au 3.09, 4 Hg 3.22
Hg (0.0000, 0.0000, 0.8476)  4 Dy 3.22, 4 Sm 3.28, 1 Au 3.54

## Properties
For the energy above the most stable polymorph in this dataset, the calculation gives 0.0 meV per atom. The density of states at the Fermi level comes out at 0.82 states/eV/atom. The formation energy is -0.65 eV per atom. The calculated total energy comes out at -3.878 eV per atom.



# DySnHgAu

An optimized crystal structure of DySnHgAu (GGA-PBE, Alexandria via LeMat-Bulk).

abc: 5.0818 5.0818 5.0818
angles: 60.00 60.00 60.00
With the nearest neighbours (Å) after each atom.
Element x y z (fractional)
Dy (0.7500, 0.7500, 0.7500)  4 Au 3.11, 4 Hg 3.11
Au (0.5000, 0.5000, 0.5000)  4 Sn 3.11, 4 Dy 3.11
Hg (0.0000, 0.0000, 0.0000)  4 Sn 3.11, 4 Dy 3.11
Sn (0.2500, 0.2500, 0.2500)  4 Hg 3.11, 4 Au 3.11

## Properties
The density of states at the Fermi level comes out at 0.32 states/eV/atom. The formation energy is -0.50 eV per atom. The calculated total energy comes out at -3.542 eV per atom.



# TbDyHgAu

An optimized crystal structure of TbDyHgAu (GGA-PBE, Alexandria via LeMat-Bulk).

abc: 3.6751 3.6751 7.3062
angles: 90.00 90.00 90.00
With the nearest neighbours (Å) after each atom.
Element x y z (fractional)
Dy (0.5000, 0.5000, 0.1182)  4 Au 3.12, 4 Hg 3.22, 1 Tb 3.49
Au (0.0000, 0.0000, 0.3544)  4 Dy 3.12, 4 Tb 3.14
Hg (0.0000, 0.0000, 0.8590)  4 Dy 3.22, 4 Tb 3.23
Tb (0.5000, 0.5000, 0.5963)  4 Au 3.14, 4 Hg 3.23, 1 Dy 3.49

## Properties
For the energy above the most stable polymorph in this dataset, the calculation gives 0.0 meV per atom. The density of states at the Fermi level comes out at 0.72 states/eV/atom. The formation energy is -0.67 eV per atom. The calculated total energy comes out at -3.873 eV per atom.



# TbDyHgAu

An optimized crystal structure of TbDyHgAu (GGA-PBE, Alexandria via LeMat-Bulk).

abc: 5.1863 5.1863 5.1863
angles: 60.00 60.00 60.00
With the nearest neighbours (Å) after each atom.
Element x y z (fractional)
Tb (0.7500, 0.7500, 0.7500)  4 Hg 3.18, 4 Au 3.18
Dy (0.2500, 0.2500, 0.2500)  4 Hg 3.18, 4 Au 3.18
Au (0.0000, 0.0000, 0.0000)  4 Dy 3.18, 4 Tb 3.18
Hg (0.5000, 0.5000, 0.5000)  4 Tb 3.18, 4 Dy 3.18

## Properties
For the energy above the most stable polymorph in this dataset, the calculation gives 12.9 meV per atom. The density of states at the Fermi level comes out at 0.87 states/eV/atom. The formation energy is -0.66 eV per atom. The calculated total energy comes out at -3.860 eV per atom.



# DyTiHgAu

An optimized crystal structure of DyTiHgAu (GGA-PBE, Alexandria via LeMat-Bulk).

abc: 4.9573 4.9573 4.9573
angles: 60.00 60.00 60.00
With the nearest neighbours (Å) after each atom.
Element x y z (fractional)
Hg (0.0000, 0.0000, 0.0000)  4 Dy 3.04, 4 Ti 3.04
Ti (0.2500, 0.2500, 0.2500)  4 Hg 3.04, 4 Au 3.04
Dy (0.7500, 0.7500, 0.7500)  4 Hg 3.04, 4 Au 3.04
Au (0.5000, 0.5000, 0.5000)  4 Dy 3.04, 4 Ti 3.04

## Properties
The density of states at the Fermi level comes out at 0.88 states/eV/atom. The formation energy is -0.33 eV per atom. The calculated total energy comes out at -4.353 eV per atom.



# DyTlHgAu

An optimized crystal structure of DyTlHgAu (GGA-PBE, Alexandria via LeMat-Bulk).

abc: 5.1075 5.1075 5.1075
angles: 60.00 60.00 60.00
With the nearest neighbours (Å) after each atom.
Element x y z (fractional)
Tl (0.0000, 0.0000, 0.0000)  4 Hg 3.13, 4 Au 3.13
Hg (0.7500, 0.7500, 0.7500)  4 Tl 3.13, 4 Dy 3.13
Au (0.2500, 0.2500, 0.2500)  4 Tl 3.13, 4 Dy 3.13
Dy (0.5000, 0.5000, 0.5000)  4 Au 3.13, 4 Hg 3.13

## Properties
The density of states at the Fermi level comes out at 0.53 states/eV/atom. The formation energy is -0.41 eV per atom. The calculated total energy comes out at -3.045 eV per atom.



# Dy4TlHgAu2

An optimized crystal structure of Dy4TlHgAu2 (GGA-PBE, Alexandria via LeMat-Bulk).

abc: 5.2033 5.2033 9.0234
angles: 73.24 73.24 60.00
With the nearest neighbours (Å) after each atom.
Element x y z (fractional)
Dy (0.3769, 0.3769, 0.8693)  1 Hg 3.14, 4 Au 3.17-3.25, 3 Tl 3.20
Dy (0.8732, 0.8732, 0.3804)  4 Au 3.14-3.20, 3 Hg 3.17, 1 Tl 3.24
Dy (0.1268, 0.1268, 0.6196)  4 Au 3.14-3.20, 3 Hg 3.17, 1 Tl 3.24
Dy (0.6231, 0.6231, 0.1307)  1 Hg 3.14, 4 Au 3.17-3.25, 3 Tl 3.20
Au (0.2497, 0.2497, 0.2508)  8 Dy 3.14-3.25
Au (0.7503, 0.7503, 0.7492)  8 Dy 3.14-3.25
Hg (0.5000, 0.5000, 0.5000)  8 Dy 3.14-3.17
Tl (0.0000, 0.0000, 0.0000)  8 Dy 3.20-3.24

## Properties
The density of states at the Fermi level comes out at 0.63 states/eV/atom. The formation energy is -0.61 eV per atom. The calculated total energy comes out at -4.064 eV per atom.



# Dy4Tl2HgAu

An optimized crystal structure of Dy4Tl2HgAu (GGA-PBE, Alexandria via LeMat-Bulk).

abc: 5.2833 5.2833 9.1261
angles: 73.17 73.17 60.00
With the nearest neighbours (Å) after each atom.
Element x y z (fractional)
Au (0.5000, 0.5000, 0.5000)  8 Dy 3.13-3.21
Dy (0.6211, 0.6211, 0.1366)  1 Au 3.13, 4 Tl 3.18-3.25, 3 Hg 3.27
Dy (0.8717, 0.8717, 0.3850)  3 Au 3.21, 4 Tl 3.21-3.29, 1 Hg 3.31
Dy (0.1283, 0.1283, 0.6150)  3 Au 3.21, 4 Tl 3.21-3.29, 1 Hg 3.31
Dy (0.3789, 0.3789, 0.8634)  1 Au 3.13, 4 Tl 3.18-3.25, 3 Hg 3.27
Hg (0.0000, 0.0000, 0.0000)  8 Dy 3.27-3.31
Tl (0.7472, 0.7472, 0.7583)  8 Dy 3.18-3.29
Tl (0.2528, 0.2528, 0.2417)  8 Dy 3.18-3.29

## Properties
The density of states at the Fermi level comes out at 0.95 states/eV/atom. The formation energy is -0.49 eV per atom. The calculated total energy comes out at -3.828 eV per atom.



# Dy3Ho4Au4

An optimized crystal structure of Dy3Ho4Au4 (GGA-PBE, Alexandria via LeMat-Bulk).

abc: 4.8255 7.6479 9.0279
angles: 115.06 105.50 90.00
With the nearest neighbours (Å) after each atom.
Element x y z (fractional)
Ho (0.6727, 0.8880, 0.3455)  4 Au 2.80-2.96
Ho (0.3273, 0.5425, 0.6545)  4 Au 2.80-2.96
Ho (0.3273, 0.1120, 0.6545)  4 Au 2.80-2.96
Ho (0.6727, 0.4575, 0.3455)  4 Au 2.80-2.96
Au (0.5000, 0.8113, 0.0000)  2 Ho 2.80, 1 Au 2.89
Au (0.5000, 0.1887, 0.0000)  2 Ho 2.80, 1 Au 2.89
Au (0.7962, 0.2962, 0.5924)  6 Ho 2.91-2.96, 1 Dy 3.19
Au (0.2038, 0.7038, 0.4076)  6 Ho 2.91-2.96, 1 Dy 3.19
Dy (0.1024, 0.1024, 0.2048)  1 Dy 3.20, 4 Au 3.24, 4 Ho 3.43
Dy (0.8976, 0.8976, 0.7952)  1 Dy 3.20, 4 Au 3.24, 4 Ho 3.43
Dy (0.0000, 0.5000, 0.0000)  6 Au 3.19-3.39

## Properties
The density of states at the Fermi level comes out at 0.76 states/eV/atom. The formation energy is -0.56 eV per atom. The calculated total energy comes out at -4.675 eV per atom.



# Dy2HoAu

An optimized crystal structure of Dy2HoAu (GGA-PBE, Alexandria via LeMat-Bulk).

abc: 3.6431 3.6431 10.2486
angles: 79.76 79.76 60.00
With the nearest neighbours (Å) after each atom.
Element x y z (fractional)
Dy (0.2622, 0.2622, 0.2133)  3 Au 3.00
Dy (0.7378, 0.7378, 0.7867)  3 Au 3.00
Ho (0.5000, 0.5000, 0.5000)  6 Dy 3.56, 6 Ho 3.64
Au (0.0000, 0.0000, 0.0000)  6 Dy 3.00

## Properties
For the energy above the most stable polymorph in this dataset, the calculation gives 174.5 meV per atom. The density of states at the Fermi level comes out at 1.18 states/eV/atom. The formation energy is -0.27 eV per atom. The calculated total energy comes out at -4.538 eV per atom.



# Dy3HoAu

An optimized crystal structure of Dy3HoAu (GGA-PBE, Alexandria via LeMat-Bulk).

abc: 7.0996 7.0996 7.7913
angles: 101.08 117.02 106.89
With the nearest neighbours (Å) after each atom.
Element x y z (fractional)
Au (0.6624, 0.7722, 0.4346)  5 Dy 2.89-3.04, 2 Ho 2.95-2.96
Au (0.3376, 0.2278, 0.5654)  5 Dy 2.89-3.04, 2 Ho 2.95-2.96
Ho (0.3046, 0.9209, 0.2256)  2 Au 2.95-2.96
Ho (0.6954, 0.0791, 0.7744)  2 Au 2.95-2.96
Dy (0.8229, 0.9888, 0.2143)  2 Au 2.89-3.04
Dy (0.2678, 0.5454, 0.8132)  1 Au 2.98
Dy (0.7322, 0.4546, 0.1868)  1 Au 2.98
Dy (0.1771, 0.0112, 0.7857)  2 Au 2.89-3.04
Dy (0.2255, 0.3915, 0.2143)  2 Au 2.89-3.04
Dy (0.7745, 0.6085, 0.7857)  2 Au 2.89-3.04

## Properties
The density of states at the Fermi level comes out at 1.45 states/eV/atom. The formation energy is -0.23 eV per atom. The calculated total energy comes out at -4.559 eV per atom.



# DyHoAu4

An optimized crystal structure of DyHoAu4 (GGA-PBE, Alexandria via LeMat-Bulk).

abc: 3.7320 5.2526 7.4576
angles: 80.29 75.53 110.87
With the nearest neighbours (Å) after each atom.
Element x y z (fractional)
Ho (0.0013, 0.9973, 0.4981)  10 Au 3.03-3.04
Dy (0.5013, 0.4973, 0.9981)  10 Au 3.04
Au (0.8335, 0.4941, 0.3311)  5 Au 2.99-3.06, 3 Ho 3.03-3.04, 2 Dy 3.04
Au (0.6672, 0.9989, 0.1674)  5 Au 2.99-3.08, 2 Ho 3.03, 3 Dy 3.04
Au (0.3355, 0.9956, 0.8290)  5 Au 2.99-3.08, 2 Ho 3.03, 3 Dy 3.04
Au (0.1689, 0.5006, 0.6652)  5 Au 2.99-3.06, 3 Ho 3.03-3.04, 2 Dy 3.04

## Properties
The density of states at the Fermi level comes out at 0.38 states/eV/atom. The formation energy is -0.87 eV per atom. The calculated total energy comes out at -4.583 eV per atom.